# ErZrCr2O6 (PBE+U, relaxed)
data_ErZrCr2O6
_cell_length_a 5.337
_cell_length_b 5.435
_cell_length_c 5.687
_cell_angle_alpha 63.11
_cell_angle_beta 89.92
_cell_angle_gamma 60.99
_space_group_name_H-M_alt 'P 1'
_space_group_IT_number 1
loop_
_space_group_symop_operation_xyz
'x,y,z'
loop_
_atom_site_label
_atom_site_type_symbol
_atom_site_fract_x
_atom_site_fract_y
_atom_site_fract_z
Er1 Er 0.000 0.000 0.000
Zr1 Zr 0.514 0.979 0.527
Cr1 Cr 0.215 0.572 0.626
Cr2 Cr 0.722 0.555 0.149
O1 O 0.139 0.029 0.362
O2 O 0.318 0.110 0.817
O3 O 0.429 0.453 0.353
O4 O 0.584 0.490 0.839
O5 O 0.827 0.751 0.352
O6 O 0.929 0.733 0.839
# electronic total energy	-84.6	eV for the cell shown
# magnetic moment	0.70	μB per atom
# DOS at the Fermi energy	0.000	states/eV/cell
# theoretical density	6.2	g/cm3